[1]
Cs3Mn2CuBr9 (PBE, relaxed); calculated volume = 30.78 A^3/atom; calculated density = 4.6 g/cm³; M_tot = 0.600 μB/atom; SG = P-3m1; E_tot = -3.77 eV per atom
1.0
-4.443 0.401 6.126
2.035 -6.754 -2.769
7.516 0.030 5.450
Cs Mn Cu Br
3 2 1 9
Cartesian
4.875 -4.349 3.821
0.000 0.000 0.000
0.232 -1.974 4.985
1.194 -4.364 1.152
3.913 -1.959 7.654
3.758 0.015 2.725
1.658 -0.775 8.277
2.672 -4.142 6.897
3.873 -0.975 5.224
1.234 -5.348 3.582
2.435 -2.181 1.909
3.449 -5.548 0.529
-2.222 0.201 3.063
1.017 -3.377 -1.385
-1.204 -3.176 1.678

[2]
CaSbAs2C (PBE, relaxed); calculated volume = 25.46 A^3/atom; calculated density = 4.2 g/cm³; M_tot = 0.084 μB/atom; SG = P4/mmm; E_tot = -3.41 eV per atom
1.0
5.390 0.000 0.000
0.000 4.383 0.000
0.000 0.000 5.390
C Sb As Ca
1 1 2 1
Cartesian
0.000 2.191 0.000
2.695 2.191 2.695
0.000 0.000 2.695
2.695 0.000 0.000
0.000 0.000 0.000

[3]
Nd7Y2Tm4 (PBE, relaxed); calculated volume = 33.53 A^3/atom; calculated density = 7.1 g/cm³; M_tot = 0.000 μB/atom; SG = P-31m; formation energy = 17.0 kJ per mole of atoms; E_tot = -4.76 eV per atom
1.0
6.195 0.000 0.000
-3.097 5.365 0.000
0.000 0.000 13.119
Nd Y Tm
7 2 4
Cartesian
4.259 3.352 10.158
-1.162 2.012 2.961
0.000 0.000 0.000
0.773 5.365 10.158
2.324 0.000 2.961
1.935 3.352 2.961
1.162 2.012 10.158
3.097 1.788 0.000
0.000 3.576 0.000
0.000 0.000 7.976
3.097 5.365 5.143
3.097 1.788 6.559
0.000 3.576 6.559

[4]
MgCu2Ru (PBE, relaxed); calculated volume = 13.76 A^3/atom; calculated density = 7.6 g/cm³; M_tot = 0.047 μB/atom; SG = Cmmm; formation energy = 8.8 kJ per mole of atoms; E_tot = -4.67 eV per atom
1.0
6.108 0.026 0.083
-2.437 3.830 0.056
1.234 0.750 2.380
Cu Mg Ru
2 1 1
Cartesian
0.000 0.000 0.000
3.671 0.388 1.232
-0.602 2.290 1.218
1.836 1.928 0.069

[5]
HfTl2B (PBE, relaxed); ΔE to the lowest computed polymorph = 0.512 eV per atom; calculated volume = 21.73 A^3/atom; calculated density = 11.4 g/cm³; M_tot = 0.000 μB/atom; SG = Fm-3m; formation energy = 119.4 kJ per mole of atoms; E_tot = -4.10 eV per atom
1.0
4.725 -1.347 -0.759
2.925 -1.095 3.869
1.404 -4.701 0.803
Tl B Hf
2 1 1
Cartesian
2.263 -1.786 0.978
6.790 -5.358 2.935
0.000 0.000 0.000
4.527 -3.572 1.957

[6]
MnZnIn2Br6 (PBE, relaxed); calculated volume = 38.47 A^3/atom; calculated density = 3.6 g/cm³; M_tot = 0.498 μB/atom; SG = P1; E_tot = -3.35 eV per atom
1.0
-4.724 -4.896 -4.495
-0.188 -8.757 -0.974
-6.620 -4.432 3.437
Mn Zn In Br
1 1 2 6
Cartesian
-7.214 -12.419 -2.878
-3.077 -4.434 -1.026
-4.647 -9.197 -1.544
-9.954 -9.362 -1.667
-5.277 -5.481 -1.577
-3.160 -3.017 0.943
-1.675 -6.421 -0.531
-7.194 -10.907 -0.908
-8.919 -7.570 0.560
-4.793 -8.311 1.345

[7]
BaSr2P (PBE, relaxed); calculated volume = 47.30 A^3/atom; calculated density = 3.0 g/cm³; M_tot = 0.102 μB/atom; SG = Pnna; formation energy = -58.0 kJ per mole of atoms; E_tot = -3.28 eV per atom
1.0
7.690 0.000 0.349
0.000 7.425 0.000
-0.599 -0.001 13.228
Ba Sr P
4 8 4
Cartesian
4.008 1.855 10.124
3.083 5.570 3.453
6.628 5.567 10.242
0.462 1.857 3.335
7.095 5.463 1.299
-0.004 1.961 12.278
4.141 1.750 5.838
2.950 5.674 7.739
2.740 5.462 12.403
4.351 1.962 1.174
0.207 1.750 7.614
6.884 5.674 5.963
1.672 0.000 5.626
5.419 7.424 7.951
1.874 3.713 1.162
5.217 3.712 12.415

[8]
In12Ga5S3 (PBE, relaxed); calculated volume = 28.42 A^3/atom; calculated density = 5.3 g/cm³; M_tot = 0.000 μB/atom; SG = Ia-3d; E_tot = -2.91 eV per atom
1.0
-0.262 -1.943 14.213
-12.592 -3.985 -5.604
10.503 -7.927 -5.718
S Ga In
12 20 48
Cartesian
-3.605 -3.942 7.843
-8.360 -5.680 7.518
-2.978 -8.672 -2.447
2.299 -3.957 0.708
0.823 -4.180 10.306
-5.342 -5.201 0.398
2.992 -8.654 2.493
-3.173 -9.675 -7.416
-4.650 -9.899 2.182
0.627 -5.183 5.338
6.010 -8.175 -4.628
1.255 -9.913 -4.953
-2.129 -3.719 -1.754
-6.296 -1.993 -2.802
0.000 0.000 0.000
-1.933 -2.716 3.214
5.121 -4.935 4.247
-6.427 -2.964 4.304
-5.538 -6.205 -4.571
7.420 -8.891 4.956
-4.128 -6.921 5.013
6.205 -7.172 0.341
-8.556 -6.683 2.550
-1.175 -6.928 1.445
-0.131 -0.971 7.106
5.252 -3.964 -2.859
1.777 -6.935 -2.122
-9.771 -4.964 -2.065
-1.044 -5.956 -5.661
3.188 -7.651 7.462
-0.417 -11.140 -0.323
-0.222 -10.136 4.645
-1.236 -2.409 9.271
-2.643 -6.253 -0.870
-2.021 -5.449 9.759
-1.630 -3.043 5.910
-2.296 -9.364 0.562
-5.688 -5.454 9.195
-5.561 -6.922 -1.934
-10.015 -4.794 -4.781
-4.971 -10.169 -0.952
-5.917 -5.130 6.042
-1.893 -6.172 6.396
-11.267 -5.775 6.278
-3.332 -7.590 -5.397
-4.462 -3.175 2.287
-7.832 -6.795 -5.934
4.250 -5.857 1.724
0.241 -2.669 -0.890
-7.772 -4.105 2.099
-8.747 -7.373 5.187
-4.353 -2.449 -0.804
-3.839 -10.584 -4.461
-3.867 -6.837 2.294
-4.833 -9.543 5.319
5.128 -9.985 3.947
1.516 -7.018 0.597
2.483 -4.313 -2.428
-7.479 -3.870 -1.056
6.396 -6.483 -2.296
1.488 -3.272 7.351
2.003 -11.407 3.695
5.421 -9.751 0.792
-6.601 -7.999 1.166
-2.591 -11.186 3.780
5.481 -7.060 8.824
0.982 -6.265 8.288
8.917 -8.080 -3.387
2.112 -10.680 0.604
2.621 -3.686 3.843
3.566 -8.725 -3.151
-0.458 -7.683 -3.505
7.664 -9.061 7.672
3.211 -6.933 4.825
-0.721 -10.812 -3.019
3.338 -8.401 -6.304
-0.054 -4.491 2.328
-0.329 -8.406 -6.869
0.293 -7.602 3.761
-1.114 -11.446 -6.380